A plane-wave DFT calculation with GGA-PBEsol was carried out for a relaxed structure of Ba2FeTe.

a = 4.1490 Å, b = 4.1376 Å, c = 7.8638 Å
α = 90.00°, β = 92.63°, γ = 90.00°
Space group P2/m (No. 10)
One atom of each set of equivalent atoms:
Ba (0.0189, 0.0000, 0.2520)
Fe (0.5000, 0.5000, 0.5000)
Te (0.5000, 0.5000, 0.0000)

## Properties
Uncorrected formation energy = -204.3 meV/atom
Crystal system = monoclinic
Final energy = -4.4012 eV/atom
Spin magnetization = 2.3 Bohr magnetons per cell